First-principles (SCAN) data for a PBEsol-optimized structure of YZnTc2, as listed in Alexandria.

a = 2.8003 Å, b = 2.8003 Å, c = 9.6934 Å
α = 81.69°, β = 81.69°, γ = 60.00°
Last column: nearest neighbours and their distance in Å.
Sites, in units of the cell vectors:
Tc 0.7413 0.7413 0.7760  3 Zn 2.68, 6 Tc 2.80
Y 0.5000 0.5000 0.5000  6 Y 2.80, 6 Tc 3.09
Tc 0.2587 0.2587 0.2240  3 Zn 2.68, 6 Tc 2.80
Zn 0.0000 0.0000 0.0000  6 Tc 2.68, 6 Zn 2.80

Computed properties:
SG	R-3m (166)
size of the total moment	0.00	μB per atom
raw total energy	-27.3190	eV per atom
formation energy	53	kJ per mole of atoms